No. 1
Computed, not measured: crystalline Zr2TiCr at its relaxed geometry at the PBE level of DFT.

Values from the calculation:
ΔE to the lowest computed polymorph ... 410.7 meV per atom
Total moment ... 0.0 μB/cell
ΔH_f (0 K) ... 0.567 eV per atom
DOS(E_F) ... 5.00 states/eV/f.u.

Cell: 5.8953 5.8953 5.8953 Å, 103.90 103.90 121.29°
Closest atoms and distances in Å follow each position.
Sites, in units of the cell vectors:
Zr  0.1012  0.6250  0.9762  2 Cr 2.55, 2 Ti 2.79
Zr  0.3750  0.3512  0.4762  2 Cr 2.55, 2 Ti 2.79
Zr  0.6488  0.1250  0.0238  2 Cr 2.55, 2 Ti 2.79
Zr  0.8750  0.8988  0.5238  2 Cr 2.55, 2 Ti 2.79
Ti  0.2500  0.7500  0.5000  4 Zr 2.79, 2 Cr 2.89
Ti  0.5000  0.5000  0.0000  4 Zr 2.79, 2 Cr 2.89
Cr  0.0000  0.0000  0.0000  4 Zr 2.55
Cr  0.7500  0.2500  0.5000  4 Zr 2.55

---

No. 2
Computed, not measured: crystalline Zr2Ti2Cr at its relaxed geometry at the PBE level of DFT.

Values from the calculation:
Total moment ... 0.0 μB/cell
ΔH_f (0 K) ... 0.195 eV per atom
DOS(E_F) ... 3.12 states/eV/f.u.

Cell: 6.1856 6.1856 4.9155 Å, 90.00 90.00 90.00°
Closest atoms and distances in Å follow each position.
Sites, in units of the cell vectors:
Zr  0.1677  0.3323  0.0000  6 Ti 2.91-3.17, 1 Zr 2.93
Zr  0.3323  0.8323  0.0000  6 Ti 2.91-3.17, 1 Zr 2.93
Zr  0.6677  0.1677  0.0000  6 Ti 2.91-3.17, 1 Zr 2.93
Zr  0.8323  0.6677  0.0000  6 Ti 2.91-3.17, 1 Zr 2.93
Ti  0.1549  0.6549  0.5000  2 Cr 2.34
Ti  0.3451  0.1549  0.5000  2 Cr 2.34
Ti  0.6549  0.8451  0.5000  2 Cr 2.34
Ti  0.8451  0.3451  0.5000  2 Cr 2.34
Cr  0.0000  0.0000  0.5000  4 Ti 2.34
Cr  0.5000  0.5000  0.5000  4 Ti 2.34